No. 1
ZrMnFe2Ir: optimized geometry, PBE. Values from VASP.

Calculated values
* total magnetization: 10.115 μB per formula unit
* symmetry: No. 123
* electronic total energy: -7.736 eV/atom

```
&SYSTEM
  ibrav = 0, nat = 5, ntyp = 4
/
ATOMIC_SPECIES
Zr 91.22 Zr.upf
Mn 54.94 Mn.upf
Fe 55.84 Fe.upf
Ir 192.22 Ir.upf
CELL_PARAMETERS angstrom
4.684 0.000 0.000
0.000 4.684 0.000
0.000 0.000 4.943
ATOMIC_POSITIONS angstrom
Zr 0.000 0.000 0.000
Mn 2.342 2.342 0.000
Fe 0.000 2.342 2.472
Fe 2.342 0.000 2.472
Ir 0.000 0.000 2.472
```

***

No. 2
FeMoIr: optimized geometry, PBE. Values from VASP.

Calculated values
* total magnetization: 2.179 μB per formula unit
* symmetry: No. 44
* electronic total energy: -9.481 eV/atom

```
&SYSTEM
  ibrav = 0, nat = 3, ntyp = 3
/
ATOMIC_SPECIES
Fe 55.84 Fe.upf
Mo 95.94 Mo.upf
Ir 192.22 Ir.upf
CELL_PARAMETERS angstrom
-1.362 1.901 4.069
1.362 -1.901 4.069
1.362 1.901 -4.069
ATOMIC_POSITIONS angstrom
Fe 0.000 0.000 0.000
Mo 0.000 0.000 2.698
Ir 0.000 0.000 5.379
```

***

no.,Fermi-level density of states (states/eV/atom)
1,0.915
2,0.951